No. 1
Density functional theory data (PBE) for a geometry-optimized ErTeNO structure.

abc: 5.4850 9.2081 5.6158
angles: 90.00 90.00 90.00
Atoms (fractional coordinates):
Er  0.0347  0.1112  0.0000
Er  0.4653  0.1112  0.5000
Er  0.5347  0.8888  0.0000
Er  0.9653  0.8888  0.5000
Te  0.0336  0.3819  0.4839
Te  0.4664  0.3819  0.9839
Te  0.5336  0.6181  0.4839
Te  0.9664  0.6181  0.9839
N  0.2378  0.2811  0.7419
N  0.2622  0.2811  0.2419
N  0.7378  0.7189  0.7419
N  0.7622  0.7189  0.2419
O  0.2495  0.9719  0.2503
O  0.2505  0.9719  0.7503
O  0.7495  0.0281  0.2503
O  0.7505  0.0281  0.7503

The space group is Pca2_1, No. 29. For the energy above the lowest structure with this stoichiometry, the calculation gives 0.0000 eV per atom.

***

No. 2
Density functional theory data (PBE) for a geometry-optimized NaScSiPd structure.

abc: 6.5998 6.5998 6.5998
angles: 90.00 90.00 90.00
Atoms (fractional coordinates):
Na  0.0000  0.0000  0.0000
Na  0.0000  0.5000  0.5000
Na  0.5000  0.0000  0.5000
Na  0.5000  0.5000  0.0000
Sc  0.0000  0.0000  0.5000
Sc  0.0000  0.5000  0.0000
Sc  0.5000  0.0000  0.0000
Sc  0.5000  0.5000  0.5000
Si  0.2500  0.2500  0.2500
Si  0.2500  0.7500  0.7500
Si  0.7500  0.2500  0.7500
Si  0.7500  0.7500  0.2500
Pd  0.2500  0.2500  0.7500
Pd  0.2500  0.7500  0.2500
Pd  0.7500  0.2500  0.2500
Pd  0.7500  0.7500  0.7500

The space group is F-43m, No. 216. For the energy above the lowest structure with this stoichiometry, the calculation gives 0.1100 eV per atom.

***

No. 3
Density functional theory data (PBE) for a geometry-optimized CsNbIr structure.

abc: 6.7655 6.7655 6.7655
angles: 90.00 90.00 90.00
Atoms (fractional coordinates):
Cs  0.0000  0.0000  0.0000
Cs  0.0000  0.5000  0.5000
Cs  0.5000  0.0000  0.5000
Cs  0.5000  0.5000  0.0000
Nb  0.0000  0.0000  0.5000
Nb  0.0000  0.5000  0.0000
Nb  0.5000  0.0000  0.0000
Nb  0.5000  0.5000  0.5000
Ir  0.2500  0.2500  0.2500
Ir  0.2500  0.7500  0.7500
Ir  0.7500  0.2500  0.7500
Ir  0.7500  0.7500  0.2500

The space group is F-43m, No. 216. For the total energy, the calculation gives -0.1843 Ha/atom.

***

No. 4
Density functional theory data (PBE) for a geometry-optimized KLuZnS3 structure.

abc: 8.1899 3.9235 9.9084
angles: 90.00 109.32 90.00
Atoms (fractional coordinates):
K  0.2476  0.2500  0.2713
K  0.7524  0.7500  0.7287
Lu  0.3202  0.7500  0.8647
Lu  0.6798  0.2500  0.1353
Zn  0.0822  0.2500  0.6084
Zn  0.9178  0.7500  0.3916
S  0.0873  0.2500  0.8413
S  0.2177  0.7500  0.5550
S  0.4595  0.7500  0.1436
S  0.5405  0.2500  0.8564
S  0.7823  0.2500  0.4450
S  0.9127  0.7500  0.1587

The space group is P2_1/m, No. 11. For the total energy, the calculation gives -0.1724 Ha/atom.

***

No. 5
Density functional theory data (PBE) for a geometry-optimized BeFeSiNi structure.

abc: 5.4653 5.4653 5.4653
angles: 90.00 90.00 90.00
Atoms (fractional coordinates):
Be  0.0000  0.0000  0.0000
Be  0.0000  0.5000  0.5000
Be  0.5000  0.0000  0.5000
Be  0.5000  0.5000  0.0000
Fe  0.0000  0.0000  0.5000
Fe  0.0000  0.5000  0.0000
Fe  0.5000  0.0000  0.0000
Fe  0.5000  0.5000  0.5000
Si  0.2500  0.2500  0.7500
Si  0.2500  0.7500  0.2500
Si  0.7500  0.2500  0.2500
Si  0.7500  0.7500  0.7500
Ni  0.2500  0.2500  0.2500
Ni  0.2500  0.7500  0.7500
Ni  0.7500  0.2500  0.7500
Ni  0.7500  0.7500  0.2500

The space group is F-43m, No. 216. For the energy above the lowest structure with this stoichiometry, the calculation gives 0.3142 eV per atom.

***

No. 6
Density functional theory data (PBE) for a geometry-optimized Dy2TmCu4Si2Ge2 structure.

abc: 7.9163 7.9163 7.9163
angles: 149.35 130.96 58.95
Atoms (fractional coordinates):
Dy  0.1297  0.1297  0.0000
Dy  0.8703  0.8703  0.0000
Tm  0.5000  0.0000  0.5000
Cu  0.1462  0.3366  0.8095
Cu  0.4729  0.6634  0.8095
Cu  0.5271  0.3366  0.1905
Cu  0.8538  0.6634  0.1905
Si  0.1847  0.5000  0.6847
Si  0.8153  0.5000  0.3153
Ge  0.2842  0.7842  0.5000
Ge  0.7158  0.2158  0.5000

The space group is Immm, No. 71. For the energy above the lowest structure with this stoichiometry, the calculation gives 0.0082 eV per atom.

***

No. 7
Density functional theory data (PBE) for a geometry-optimized ZrSi structure.

abc: 4.8156 6.2179 4.8785
angles: 90.00 90.00 90.00
Atoms (fractional coordinates):
Zr  0.0000  0.0000  0.0000
Zr  0.0000  0.2768  0.4860
Zr  0.0000  0.7232  0.4860
Zr  0.5000  0.0000  0.5451
Si  0.0000  0.5000  0.9890
Si  0.5000  0.2596  0.0508
Si  0.5000  0.5000  0.6080
Si  0.5000  0.7404  0.0508

The space group is Pmm2, No. 25. For the total energy, the calculation gives -0.2645 Ha/atom.

***

No. 8
Density functional theory data (PBE) for a geometry-optimized DySn3 structure.

abc: 4.4301 4.4357 21.9904
angles: 90.00 90.00 90.00
Atoms (fractional coordinates):
Dy  0.0000  0.0000  0.0000
Dy  0.0000  0.5000  0.5000
Dy  0.5000  0.0000  0.2719
Dy  0.5000  0.5000  0.7719
Sn  0.0000  0.0000  0.3838
Sn  0.0000  0.0000  0.6163
Sn  0.0000  0.0000  0.7516
Sn  0.0000  0.5000  0.1163
Sn  0.0000  0.5000  0.2516
Sn  0.0000  0.5000  0.8838
Sn  0.5000  0.0000  0.1210
Sn  0.5000  0.0000  0.5077
Sn  0.5000  0.0000  0.8849
Sn  0.5000  0.5000  0.0077
Sn  0.5000  0.5000  0.3849
Sn  0.5000  0.5000  0.6210

The space group is Amm2, No. 38. For the total energy, the calculation gives -0.1661 Ha/atom.